Entry 1:
# TlIrBr2 PBE optimized geometry
data_TlIrBr2
_chemical_formula_sum 'Tl2 Ir2 Br4'
_cell_length_a 4.102
_cell_length_b 4.102
_cell_length_c 12.299
_cell_angle_alpha 90.00
_cell_angle_beta 90.00
_cell_angle_gamma 90.00
_space_group_name_H-M_alt 'I -4 m 2'
_space_group_IT_number 119
_space_group_name_Hall 'I -4 -2'
loop_
_atom_site_label
_atom_site_fract_x
_atom_site_fract_y
_atom_site_fract_z
_atom_site_occupancy
Tl1 0.000 0.000 0.000 1
Ir1 0.000 0.500 0.750 1
Br1 0.000 0.000 0.500 1
Br2 0.000 0.500 0.250 1
# Calculated density   8.9 g cm⁻³
# Crystal system   tetragonal
# E_form (uncorrected)   740 meV per atom

---

Entry 2:
# TlIrBr2 PBE optimized geometry
data_TlIrBr2
_chemical_formula_sum 'Tl1 Ir1 Br2'
_cell_length_a 3.460
_cell_length_b 3.460
_cell_length_c 8.125
_cell_angle_alpha 90.00
_cell_angle_beta 90.00
_cell_angle_gamma 90.00
_space_group_name_H-M_alt 'P 4/m m m'
_space_group_IT_number 123
_space_group_name_Hall '-P 4 2'
loop_
_atom_site_label
_atom_site_fract_x
_atom_site_fract_y
_atom_site_fract_z
_atom_site_occupancy
Tl1 0.000 0.000 0.000 1
Ir1 0.000 0.000 0.500 1
Br1 0.500 0.500 0.299 1
# Calculated density   9.5 g cm⁻³
# Crystal system   tetragonal
# E_form (uncorrected)   616 meV per atom

---

Entry 3:
# TlIr3Br PBE optimized geometry
data_TlIr3Br
_chemical_formula_sum 'Tl1 Ir3 Br1'
_cell_length_a 5.079
_cell_length_b 5.079
_cell_length_c 5.079
_cell_angle_alpha 90.00
_cell_angle_beta 90.00
_cell_angle_gamma 90.00
_space_group_name_H-M_alt 'P m -3 m'
_space_group_IT_number 221
_space_group_name_Hall '-P 4 2 3'
loop_
_atom_site_label
_atom_site_fract_x
_atom_site_fract_y
_atom_site_fract_z
_atom_site_occupancy
Tl1 0.000 0.000 0.000 1
Ir1 0.000 0.000 0.500 1
Br1 0.500 0.500 0.500 1
# Calculated density   10.9 g cm⁻³
# Crystal system   cubic
# E_form (uncorrected)   2471 meV per atom

---

- What is the E_form (uncorrected) in the second record?
  616 meV per atom

---

- Which formula does entry 1 have?
  TlIrBr2

---

- Number 3 is which compound?
  TlIr3Br